# InMoBr2

A geometry-optimized InMoBr2 structure (GGA-PBE, the Alexandria database).

excess energy over the best structure of this formula in the dataset = 2 kJ/mol of formula units
Fermi-level density of states = 0.645 states/eV per atom
space group = No. 160
calculated volume = 96.5 Å³/cell
energy = -4.3100 eV per atom

Lattice parameters (Å, degrees): 9.4547 9.4547 9.4547 21.17 21.17 21.17
Fractional positions:
In: 0.0000 0.0000 0.0000
Mo: 0.7436 0.7436 0.7436
Br: 0.2594 0.2594 0.2594
Br: 0.4667 0.4667 0.4667